Entry 1:
VASP calculation (PBE-GGA) on a relaxed structure of Pr2Tm2Sn3.

Properties
Its total magnetization is 0.00 μB/cell. The calculation puts the density of states at the Fermi level at 5.42 states/eV/f.u. The calculation puts the mass density at 6.97 g/cm³. The formation energy comes out at -0.53 eV/atom. For the uncorrected energy, the calculation gives -4.8880 eV/atom.

Geometry as CIF:
```
data_Pr2Tm2Sn3
_cell_length_a 4.9697
_cell_length_b 5.9994
_cell_length_c 8.6609
_cell_angle_alpha 97.64
_cell_angle_beta 90.04
_cell_angle_gamma 114.46
_space_group_name_H-M_alt 'P -1'
_space_group_IT_number 2
loop_
_space_group_symop_operation_xyz
'x,y,z'
'-x,-y,-z'
loop_
_atom_site_label
_atom_site_type_symbol
_atom_site_fract_x
_atom_site_fract_y
_atom_site_fract_z
_atom_site_occupancy
Pr1 Pr 0.1290 0.2568 0.3496 1
Tm1 Tm 0.3531 0.7059 0.0645 1
Sn1 Sn 0.0000 0.0000 0.0000 1
Sn2 Sn 0.1931 0.3871 0.7255 1
```

***

Entry 2:
VASP calculation (PBE-GGA) on a relaxed structure of PrTmSn.

Properties
Its total magnetization is 0.00 μB/cell. The calculation puts the density of states at the Fermi level at 1.83 states/eV/f.u. The calculation puts the mass density at 7.62 g/cm³. The formation energy comes out at -0.39 eV/atom. For the distance to the lowest polymorph of the same formula, the calculation gives 22.3 kJ/mol of atoms. For the uncorrected energy, the calculation gives -4.8042 eV/atom.

Geometry as CIF:
```
data_PrTmSn
_cell_length_a 5.1088
_cell_length_b 5.1088
_cell_length_c 4.1330
_cell_angle_alpha 90.00
_cell_angle_beta 90.00
_cell_angle_gamma 120.00
_space_group_name_H-M_alt 'P 3 m 1'
_space_group_IT_number 156
loop_
_space_group_symop_operation_xyz
'x,y,z'
'-y,x-y,z'
'-x+y,-x,z'
'-y,-x,z'
'-x+y,y,z'
'x,x-y,z'
loop_
_atom_site_label
_atom_site_type_symbol
_atom_site_fract_x
_atom_site_fract_y
_atom_site_fract_z
_atom_site_occupancy
Pr1 Pr 0.0000 0.0000 0.0000 1
Tm1 Tm 0.3333 0.6667 0.5109 1
Sn1 Sn 0.6667 0.3333 0.4720 1
```

***

Question: What is the formula in the second record?
Answer: PrTmSn

***

Question: Which of these has the lowest mass density?
Answer: Pr2Tm2Sn3

***

Question: Which of these has the highest mass density?
Answer: PrTmSn